1.
First-principles (PBEsol) data for Sn2OsRuSe after structural relaxation, as listed in the Alexandria database.

Output
- DOS at the Fermi energy (states/eV/f.u.) = 4.3
- formation energy without anion corrections (kJ per mole of atoms) = 91.9

abc: 5.032 5.032 4.654
angles: 90.00 90.00 90.00
Space group P4/mmm (No. 123)
Unique sites:
Sn  0.000  0.500  0.000 [2 per cell]
Os  0.000  0.000  0.500 [1 per cell]
Ru  0.000  0.000  0.000 [1 per cell]
Se  0.500  0.500  0.500 [1 per cell]

2.
First-principles (PBEsol) data for SiOsRu2 after structural relaxation, as listed in the Alexandria database.

Output
- DOS at the Fermi energy (states/eV/f.u.) = 2.1
- formation energy without anion corrections (kJ per mole of atoms) = -25.6

abc: 2.786 2.786 6.664
angles: 90.00 90.00 90.00
Space group P4/mmm (No. 123)
Unique sites:
Si  0.000  0.000  0.000 [1 per cell]
Os  0.000  0.000  0.500 [1 per cell]
Ru  0.500  0.500  0.221 [2 per cell]